BaAcSmO4: optimized geometry, PBE-GGA.

a b c (Å): 7.351 7.351 6.427
angles (deg): 90.00 90.00 128.98
Sites, in units of the cell vectors:
Ba 0.103 0.897 0.750
Ba 0.897 0.103 0.250
Ac 0.387 0.613 0.750
Ac 0.613 0.387 0.250
Sm 0.251 0.749 0.250
Sm 0.749 0.251 0.750
O 0.000 0.500 0.000
O 0.000 0.500 0.500
O 0.081 0.919 0.250
O 0.440 0.560 0.250
O 0.500 0.000 0.000
O 0.500 0.000 0.500
O 0.560 0.440 0.750
O 0.919 0.081 0.750

## Properties
E_form (uncorrected) in meV/atom: -2948